[1]
An optimized crystal structure of Hf2CrSnSe, computed with PBE.

Unit cell a=4.8218 b=4.8918 c=4.8218 alpha=90.00 beta=90.00 gamma=90.00
Atoms (fractional coordinates):
1 Sn 0.0000 0.5000 0.0000
2 Se 0.5000 0.5000 0.5000
3 Hf 0.0000 0.0000 0.5000
4 Hf 0.5000 0.0000 0.0000
5 Cr 0.0000 0.0000 0.0000

Results
ΔE_f (raw): 0.362 eV/atom
E_tot: -7.042 eV per atom
space group: P4/mmm (123)

[2]
An optimized crystal structure of SrHfCr2Se6, computed with PBE.

Unit cell a=6.8499 b=6.8480 c=7.0767 alpha=61.05 beta=61.08 gamma=60.00
Atoms (fractional coordinates):
1 Se 0.7557 0.1861 0.7136
2 Cr 0.0123 0.0122 0.9635
3 Hf 0.3283 0.3285 0.0147
4 Sr 0.7272 0.7275 0.8177
5 Se 0.1860 0.3449 0.7133
6 Se 0.2559 0.9080 0.2130
7 Cr 0.5203 0.5198 0.4400
8 Se 0.3446 0.7560 0.7133
9 Se 0.9081 0.6230 0.2129
10 Se 0.6233 0.2555 0.2131

Results
ΔE_f (raw): -0.933 eV/atom
E_tot: -6.112 eV per atom
space group: R3 (146)

[3]
An optimized crystal structure of Hf2Tl3CrSe6, computed with PBE.

Unit cell a=6.4201 b=6.4201 c=9.0728 alpha=96.73 beta=96.73 gamma=119.97
Atoms (fractional coordinates):
1 Tl 0.1638 0.8362 0.5000
2 Hf 0.6667 0.3333 0.0000
3 Tl 0.8362 0.1638 0.5000
4 Se 0.2635 0.2635 0.8239
5 Se 0.7365 0.7365 0.1761
6 Se 0.9415 0.6195 0.8236
7 Cr 0.0000 0.0000 0.0000
8 Se 0.6195 0.9415 0.8236
9 Hf 0.3333 0.6667 0.0000
10 Se 0.0585 0.3805 0.1764
11 Tl 0.5000 0.5000 0.5000
12 Se 0.3805 0.0585 0.1764

Results
ΔE_f (raw): -0.823 eV/atom
E_tot: -5.617 eV per atom
space group: C2/m (12)

[4]
An optimized crystal structure of HfZr2CrSe, computed with PBE.

Unit cell a=4.9721 b=4.9227 c=4.9721 alpha=90.00 beta=90.00 gamma=90.00
Atoms (fractional coordinates):
1 Zr 0.5000 0.0000 0.0000
2 Hf 0.0000 0.5000 0.0000
3 Cr 0.5000 0.5000 0.5000
4 Se 0.0000 0.0000 0.0000
5 Zr 0.0000 0.0000 0.5000

Results
ΔE_f (raw): 0.281 eV/atom
E_tot: -7.751 eV per atom
space group: P4/mmm (123)